1.
Below is LiAlFeTc after structural relaxation, with properties calculated at the PBE level.

The structure in CIF format:
```
data_LiAlFeTc
_cell_length_a 5.939
_cell_length_b 5.939
_cell_length_c 5.939
_cell_angle_alpha 90.00
_cell_angle_beta 90.00
_cell_angle_gamma 90.00
_symmetry_space_group_name_H-M 'F -4 3 m'
_symmetry_Int_Tables_number 216
_symmetry_space_group_name_Hall 'F -4 2 3'
loop_
_atom_site_label
_atom_site_type_symbol
_atom_site_fract_x
_atom_site_fract_y
_atom_site_fract_z
Li1 Li 0.000 0.000 0.000
Al1 Al 0.000 0.000 0.500
Fe1 Fe 0.250 0.250 0.750
Tc1 Tc 0.250 0.250 0.250
```

Results
**Energy relative to the lowest polymorph listed for this composition**: 0.250 eV/atom

---

2.
Below is DyCuSi2Ir after structural relaxation, with properties calculated at the PBE level.

The structure in CIF format:
```
data_DyCuSi2Ir
_cell_length_a 4.036
_cell_length_b 4.036
_cell_length_c 9.978
_cell_angle_alpha 90.00
_cell_angle_beta 90.00
_cell_angle_gamma 90.00
_symmetry_space_group_name_H-M 'I -4 m 2'
_symmetry_Int_Tables_number 119
_symmetry_space_group_name_Hall 'I -4 -2'
loop_
_atom_site_label
_atom_site_type_symbol
_atom_site_fract_x
_atom_site_fract_y
_atom_site_fract_z
Dy1 Dy 0.000 0.000 0.000
Cu1 Cu 0.000 0.500 0.750
Si1 Si 0.000 0.000 0.381
Ir1 Ir 0.000 0.500 0.250
```

Results
**Energy**: -6.38 eV/atom

---

3.
Below is FeSnPtW after structural relaxation, with properties calculated at the PBE level.

The structure in CIF format:
```
data_FeSnPtW
_cell_length_a 6.372
_cell_length_b 6.372
_cell_length_c 6.372
_cell_angle_alpha 90.00
_cell_angle_beta 90.00
_cell_angle_gamma 90.00
_symmetry_space_group_name_H-M 'F -4 3 m'
_symmetry_Int_Tables_number 216
_symmetry_space_group_name_Hall 'F -4 2 3'
loop_
_atom_site_label
_atom_site_type_symbol
_atom_site_fract_x
_atom_site_fract_y
_atom_site_fract_z
Fe1 Fe 0.000 0.000 0.000
Sn1 Sn 0.250 0.250 0.750
Pt1 Pt 0.000 0.000 0.500
W1 W 0.250 0.250 0.250
```

Results
**Energy relative to the lowest polymorph listed for this composition**: 0.000 eV/atom

---

4.
Below is NdGdAg2O4 after structural relaxation, with properties calculated at the PBE level.

The structure in CIF format:
```
data_NdGdAg2O4
_cell_length_a 3.6100
_cell_length_b 3.6100
_cell_length_c 12.5005
_cell_angle_alpha 90.00
_cell_angle_beta 90.00
_cell_angle_gamma 120.00
_symmetry_space_group_name_H-M 'P -3 m 1'
_symmetry_Int_Tables_number 164
_symmetry_space_group_name_Hall '-P 3 2"'
loop_
_atom_site_label
_atom_site_type_symbol
_atom_site_fract_x
_atom_site_fract_y
_atom_site_fract_z
Nd1 Nd 0.0000 0.0000 0.0000
Gd1 Gd 0.0000 0.0000 0.5000
Ag1 Ag 0.3333 0.6667 0.2533
O1 O 0.3333 0.6667 0.0884
O2 O 0.3333 0.6667 0.4183
```

Results
**Energy**: -6.55 eV/atom

---

5.
Below is Lu3BiSb2 after structural relaxation, with properties calculated at the PBE level.

The structure in CIF format:
```
data_Lu3BiSb2
_cell_length_a 4.3351
_cell_length_b 4.3351
_cell_length_c 10.6254
_cell_angle_alpha 90.00
_cell_angle_beta 90.00
_cell_angle_gamma 120.00
_symmetry_space_group_name_H-M 'P -3 m 1'
_symmetry_Int_Tables_number 164
_symmetry_space_group_name_Hall '-P 3 2"'
loop_
_atom_site_label
_atom_site_type_symbol
_atom_site_fract_x
_atom_site_fract_y
_atom_site_fract_z
Lu1 Lu 0.0000 0.0000 0.0000
Lu2 Lu 0.3333 0.6667 0.6720
Bi1 Bi 0.0000 0.0000 0.5000
Sb1 Sb 0.3333 0.6667 0.1647
```

Results
**Energy**: -5.24 eV/atom

---

6.
Below is BeNiPdPb after structural relaxation, with properties calculated at the PBE level.

The structure in CIF format:
```
data_BeNiPdPb
_cell_length_a 6.219
_cell_length_b 6.219
_cell_length_c 6.219
_cell_angle_alpha 90.00
_cell_angle_beta 90.00
_cell_angle_gamma 90.00
_symmetry_space_group_name_H-M 'F -4 3 m'
_symmetry_Int_Tables_number 216
_symmetry_space_group_name_Hall 'F -4 2 3'
loop_
_atom_site_label
_atom_site_type_symbol
_atom_site_fract_x
_atom_site_fract_y
_atom_site_fract_z
Be1 Be 0.000 0.000 0.000
Ni1 Ni 0.250 0.250 0.750
Pd1 Pd 0.250 0.250 0.250
Pb1 Pb 0.000 0.000 0.500
```

Results
**Energy relative to the lowest polymorph listed for this composition**: 0.000 eV/atom

---

7.
Below is NaCo2C3 after structural relaxation, with properties calculated at the PBE level.

The structure in CIF format:
```
data_NaCo2C3
_cell_length_a 5.1140
_cell_length_b 5.1140
_cell_length_c 2.5707
_cell_angle_alpha 90.00
_cell_angle_beta 90.00
_cell_angle_gamma 120.00
_symmetry_space_group_name_H-M 'P 6/m m m'
_symmetry_Int_Tables_number 191
_symmetry_space_group_name_Hall '-P 6 2'
loop_
_atom_site_label
_atom_site_type_symbol
_atom_site_fract_x
_atom_site_fract_y
_atom_site_fract_z
Na1 Na 0.0000 0.0000 0.0000
Co1 Co 0.3333 0.6667 0.0000
C1 C 0.0000 0.5000 0.5000
```

Results
**Energy**: -6.13 eV/atom

---

8.
Below is UAl after structural relaxation, with properties calculated at the PBE level.

The structure in CIF format:
```
data_UAl
_cell_length_a 6.692
_cell_length_b 6.692
_cell_length_c 6.692
_cell_angle_alpha 90.00
_cell_angle_beta 90.00
_cell_angle_gamma 90.00
_symmetry_space_group_name_H-M 'F -4 3 m'
_symmetry_Int_Tables_number 216
_symmetry_space_group_name_Hall 'F -4 2 3'
loop_
_atom_site_label
_atom_site_type_symbol
_atom_site_fract_x
_atom_site_fract_y
_atom_site_fract_z
U1 U 0.000 0.000 0.000
Al1 Al 0.250 0.250 0.250
```

Results
**Energy**: -5.59 eV/atom

---

9.
Below is TbEr3S6 after structural relaxation, with properties calculated at the PBE level.

The structure in CIF format:
```
data_TbEr3S6
_cell_length_a 10.951
_cell_length_b 3.920
_cell_length_c 11.214
_cell_angle_alpha 90.00
_cell_angle_beta 108.79
_cell_angle_gamma 90.00
_symmetry_space_group_name_H-M 'P 1 21/m 1'
_symmetry_Int_Tables_number 11
_symmetry_space_group_name_Hall '-P 2yb'
loop_
_atom_site_label
_atom_site_type_symbol
_atom_site_fract_x
_atom_site_fract_y
_atom_site_fract_z
Tb1 Tb 0.045 0.250 0.192
Er1 Er 0.161 0.250 0.585
Er2 Er 0.318 0.750 0.997
Er3 Er 0.435 0.250 0.332
S1 S 0.082 0.750 0.403
S2 S 0.113 0.250 0.963
S3 S 0.193 0.750 0.749
S4 S 0.257 0.750 0.225
S5 S 0.397 0.250 0.562
S6 S 0.477 0.250 0.113
```

Results
**Energy**: -6.39 eV/atom

---

10.
Below is Dy2ErTmIn2 after structural relaxation, with properties calculated at the PBE level.

The structure in CIF format:
```
data_Dy2ErTmIn2
_cell_length_a 5.3594
_cell_length_b 5.3594
_cell_length_c 6.7005
_cell_angle_alpha 90.00
_cell_angle_beta 90.00
_cell_angle_gamma 120.00
_symmetry_space_group_name_H-M 'P -6 m 2'
_symmetry_Int_Tables_number 187
_symmetry_space_group_name_Hall 'P -6 2'
loop_
_atom_site_label
_atom_site_type_symbol
_atom_site_fract_x
_atom_site_fract_y
_atom_site_fract_z
Dy1 Dy 0.0000 0.0000 0.2502
Er1 Er 0.6667 0.3333 0.0000
Tm1 Tm 0.3333 0.6667 0.5000
In1 In 0.3333 0.6667 0.0000
In2 In 0.6667 0.3333 0.5000
```

Results
**Energy**: -4.30 eV/atom

---

11.
Below is DyAuSeO after structural relaxation, with properties calculated at the PBE level.

The structure in CIF format:
```
data_DyAuSeO
_cell_length_a 5.595
_cell_length_b 9.584
_cell_length_c 5.624
_cell_angle_alpha 90.00
_cell_angle_beta 90.00
_cell_angle_gamma 90.00
_symmetry_space_group_name_H-M 'P c c a'
_symmetry_Int_Tables_number 54
_symmetry_space_group_name_Hall '-P 2a 2ac'
loop_
_atom_site_label
_atom_site_type_symbol
_atom_site_fract_x
_atom_site_fract_y
_atom_site_fract_z
Dy1 Dy 0.000 0.114 0.250
Au1 Au 0.250 0.500 0.224
Se1 Se 0.000 0.277 0.750
O1 O 0.250 0.000 0.001
```

Results
**Energy relative to the lowest polymorph listed for this composition**: 0.008 eV/atom

---

12.
Below is GdTmGa5 after structural relaxation, with properties calculated at the PBE level.

The structure in CIF format:
```
data_GdTmGa5
_cell_length_a 4.241
_cell_length_b 4.241
_cell_length_c 8.266
_cell_angle_alpha 90.00
_cell_angle_beta 90.00
_cell_angle_gamma 90.00
_symmetry_space_group_name_H-M 'P 4/m m m'
_symmetry_Int_Tables_number 123
_symmetry_space_group_name_Hall '-P 4 2'
loop_
_atom_site_label
_atom_site_type_symbol
_atom_site_fract_x
_atom_site_fract_y
_atom_site_fract_z
Gd1 Gd 0.000 0.000 0.000
Tm1 Tm 0.000 0.000 0.500
Ga1 Ga 0.000 0.500 0.259
Ga2 Ga 0.500 0.500 0.000
```

Results
**Energy**: -3.88 eV/atom

---

13.
Below is Nb3PCN after structural relaxation, with properties calculated at the PBE level.

The structure in CIF format:
```
data_Nb3PCN
_cell_length_a 3.2098
_cell_length_b 3.2098
_cell_length_c 17.0999
_cell_angle_alpha 90.00
_cell_angle_beta 90.00
_cell_angle_gamma 120.00
_symmetry_space_group_name_H-M 'P -3 m 1'
_symmetry_Int_Tables_number 164
_symmetry_space_group_name_Hall '-P 3 2"'
loop_
_atom_site_label
_atom_site_type_symbol
_atom_site_fract_x
_atom_site_fract_y
_atom_site_fract_z
Nb1 Nb 0.0000 0.0000 0.0000
Nb2 Nb 0.0000 0.0000 0.5000
Nb3 Nb 0.3333 0.6667 0.1460
Nb4 Nb 0.3333 0.6667 0.3513
P1 P 0.0000 0.0000 0.2473
C1 C 0.3333 0.6667 0.5755
N1 N 0.3333 0.6667 0.9281
```

Results
**Energy**: -9.61 eV/atom

---

14.
Below is Ta2GaO4 after structural relaxation, with properties calculated at the PBE level.

The structure in CIF format:
```
data_Ta2GaO4
_cell_length_a 6.403
_cell_length_b 6.403
_cell_length_c 9.046
_cell_angle_alpha 90.00
_cell_angle_beta 90.00
_cell_angle_gamma 90.00
_symmetry_space_group_name_H-M 'I 41/a m d'
_symmetry_Int_Tables_number 141
loop_
_symmetry_equiv_pos_as_xyz
'x,y,z'
'-x,-y,-z'
'-y+1/4,x+3/4,z+1/4'
'y+1/4,-x+3/4,-z+1/4'
'-x+1/2,-y,z+1/2'
'x+1/2,y,-z+1/2'
'y+1/4,-x+1/4,z+3/4'
'-y+1/4,x+1/4,-z+3/4'
'x,-y,-z'
'-x,y,z'
'-y+1/4,-x+1/4,-z+3/4'
'y+1/4,x+1/4,z+3/4'
'-x+1/2,y,-z+1/2'
'x+1/2,-y,z+1/2'
'y+1/4,x+3/4,-z+1/4'
'-y+1/4,-x+3/4,z+1/4'
'x+1/2,y+1/2,z+1/2'
'-x+1/2,-y+1/2,-z+1/2'
'-y+3/4,x+1/4,z+3/4'
'y+3/4,-x+1/4,-z+3/4'
'-x,-y+1/2,z'
'x,y+1/2,-z'
'y+3/4,-x+3/4,z+1/4'
'-y+3/4,x+3/4,-z+1/4'
'x+1/2,-y+1/2,-z+1/2'
'-x+1/2,y+1/2,z+1/2'
'-y+3/4,-x+3/4,-z+1/4'
'y+3/4,x+3/4,z+1/4'
'-x,y+1/2,-z'
'x,-y+1/2,z'
'y+3/4,x+1/4,-z+3/4'
'-y+3/4,-x+1/4,z+3/4'
loop_
_atom_site_label
_atom_site_type_symbol
_atom_site_fract_x
_atom_site_fract_y
_atom_site_fract_z
Ta1 Ta 0.000 0.000 0.000
Ga1 Ga 0.000 0.250 0.375
O1 O 0.000 0.032 0.766
```

Results
**Energy**: -8.35 eV/atom

---

15.
Below is HoCoSi2Pd after structural relaxation, with properties calculated at the PBE level.

The structure in CIF format:
```
data_HoCoSi2Pd
_cell_length_a 4.011
_cell_length_b 4.011
_cell_length_c 9.867
_cell_angle_alpha 90.00
_cell_angle_beta 90.00
_cell_angle_gamma 90.00
_symmetry_space_group_name_H-M 'I -4 m 2'
_symmetry_Int_Tables_number 119
_symmetry_space_group_name_Hall 'I -4 -2'
loop_
_atom_site_label
_atom_site_type_symbol
_atom_site_fract_x
_atom_site_fract_y
_atom_site_fract_z
Ho1 Ho 0.000 0.000 0.000
Co1 Co 0.000 0.500 0.250
Si1 Si 0.000 0.000 0.380
Pd1 Pd 0.000 0.500 0.750
```

Results
**Energy**: -6.36 eV/atom

---

16.
Below is TbCoSi after structural relaxation, with properties calculated at the PBE level.

The structure in CIF format:
```
data_TbCoSi
_cell_length_a 7.7341
_cell_length_b 7.7341
_cell_length_c 3.1197
_cell_angle_alpha 90.00
_cell_angle_beta 90.00
_cell_angle_gamma 120.00
_symmetry_space_group_name_H-M 'P -6 2 m'
_symmetry_Int_Tables_number 189
_symmetry_space_group_name_Hall 'P -6 -2'
loop_
_atom_site_label
_atom_site_type_symbol
_atom_site_fract_x
_atom_site_fract_y
_atom_site_fract_z
Tb1 Tb 0.0000 0.2911 0.0000
Co1 Co 0.0000 0.5986 0.5000
Si1 Si 0.0000 0.0000 0.5000
Si2 Si 0.3333 0.6667 0.0000
```

Results
**Energy**: -5.65 eV/atom

---

17.
Below is Ho2CdGe4O12 after structural relaxation, with properties calculated at the PBE level.

The structure in CIF format:
```
data_Ho2CdGe4O12
_cell_length_a 5.047
_cell_length_b 7.122
_cell_length_c 7.936
_cell_angle_alpha 67.53
_cell_angle_beta 88.43
_cell_angle_gamma 80.05
_symmetry_space_group_name_H-M 'P -1'
_symmetry_Int_Tables_number 2
_symmetry_space_group_name_Hall '-P 1'
loop_
_atom_site_label
_atom_site_type_symbol
_atom_site_fract_x
_atom_site_fract_y
_atom_site_fract_z
Ho1 Ho 0.045 0.266 0.461
Cd1 Cd 0.000 0.500 0.000
Ge1 Ge 0.416 0.881 0.788
Ge2 Ge 0.456 0.660 0.225
O1 O 0.204 0.930 0.602
O2 O 0.212 0.572 0.382
O3 O 0.263 0.248 0.216
O4 O 0.273 0.527 0.774
O5 O 0.273 0.785 0.007
O6 O 0.400 0.158 0.720
```

Results
**Energy**: -6.78 eV/atom

---

18.
Below is UZnHg after structural relaxation, with properties calculated at the PBE level.

The structure in CIF format:
```
data_UZnHg
_cell_length_a 6.933
_cell_length_b 6.933
_cell_length_c 6.933
_cell_angle_alpha 90.00
_cell_angle_beta 90.00
_cell_angle_gamma 90.00
_symmetry_space_group_name_H-M 'F -4 3 m'
_symmetry_Int_Tables_number 216
_symmetry_space_group_name_Hall 'F -4 2 3'
loop_
_atom_site_label
_atom_site_type_symbol
_atom_site_fract_x
_atom_site_fract_y
_atom_site_fract_z
U1 U 0.000 0.000 0.000
Zn1 Zn 0.250 0.250 0.250
Hg1 Hg 0.250 0.250 0.750
```

Results
**Energy relative to the lowest polymorph listed for this composition**: 0.288 eV/atom
**Formation energy from the elements**: 0.7739 eV per atom

---

19.
Below is Gd4Sn3 after structural relaxation, with properties calculated at the PBE level.

The structure in CIF format:
```
data_Gd4Sn3
_cell_length_a 9.377
_cell_length_b 9.377
_cell_length_c 9.377
_cell_angle_alpha 90.00
_cell_angle_beta 90.00
_cell_angle_gamma 90.00
_symmetry_space_group_name_H-M 'I -4 3 d'
_symmetry_Int_Tables_number 220
_symmetry_space_group_name_Hall 'I -4bd 2c 3'
loop_
_atom_site_label
_atom_site_type_symbol
_atom_site_fract_x
_atom_site_fract_y
_atom_site_fract_z
Gd1 Gd 0.070 0.430 0.570
Sn1 Sn 0.000 0.250 0.875
```

Results
**Energy**: -5.12 eV/atom

---

20.
Below is Dy4BI3Cl2 after structural relaxation, with properties calculated at the PBE level.

The structure in CIF format:
```
data_Dy4BI3Cl2
_cell_length_a 18.430
_cell_length_b 3.985
_cell_length_c 8.511
_cell_angle_alpha 90.00
_cell_angle_beta 99.70
_cell_angle_gamma 90.00
_symmetry_space_group_name_H-M 'C 1 2/m 1'
_symmetry_Int_Tables_number 12
_symmetry_space_group_name_Hall '-C 2y'
loop_
_atom_site_label
_atom_site_type_symbol
_atom_site_fract_x
_atom_site_fract_y
_atom_site_fract_z
Dy1 Dy 0.002 0.000 0.303
Dy2 Dy 0.137 0.500 0.567
B1 B 0.000 0.500 0.500
I1 I 0.000 0.500 0.000
I2 I 0.176 0.000 0.312
Cl1 Cl 0.150 0.000 0.791
```

Results
**Energy**: -4.66 eV/atom